Here is crystalline SmInHgPb at its relaxed geometry from Alexandria. Energies are from GGA-PBE.

Values from the calculation:
- Electronic total energy: -3.095 eV per atom
- ΔH_f (0 K): -228 meV per atom
- ΔE to the lowest computed polymorph: 0.179 eV per atom
- Symmetry: No. 216

a = 5.4175 Å, b = 5.4175 Å, c = 5.4175 Å
α = 60.00°, β = 60.00°, γ = 60.00°
Fractional coordinates of all 4 atoms:
Pb1 0.2500 0.2500 0.2500
Hg1 0.5000 0.5000 0.5000
Sm1 0.7500 0.7500 0.7500
In1 0.0000 0.0000 0.0000



Here is crystalline Sm2In3Hg6Pb at its relaxed geometry from Alexandria. Energies are from GGA-PBE.

Values from the calculation:
- Electronic total energy: -1.892 eV per atom
- ΔH_f (0 K): 39 meV per atom
- Symmetry: No. 123

a = 4.5103 Å, b = 4.5103 Å, c = 20.0909 Å
α = 90.00°, β = 90.00°, γ = 90.00°
Fractional coordinates of all 12 atoms:
Sm1 0.5000 0.5000 0.2627
Sm2 0.5000 0.5000 0.7373
In1 0.0000 0.0000 0.2788
In2 0.0000 0.0000 0.7212
In3 0.0000 0.0000 0.0000
Hg1 0.0000 0.5000 0.6152
Hg2 0.5000 0.0000 0.3848
Hg3 0.5000 0.0000 0.6152
Hg4 0.0000 0.0000 0.1394
Hg5 0.0000 0.5000 0.3848
Hg6 0.0000 0.0000 0.8606
Pb1 0.5000 0.5000 0.5000



Here is crystalline SmInHgPb at its relaxed geometry from Alexandria. Energies are from GGA-PBE.

Values from the calculation:
- Electronic total energy: -3.274 eV per atom
- ΔH_f (0 K): -407 meV per atom
- ΔE to the lowest computed polymorph: 0.000 eV per atom
- Symmetry: No. 47

a = 4.6734 Å, b = 4.6734 Å, c = 4.8587 Å
α = 90.00°, β = 90.00°, γ = 90.00°
Fractional coordinates of all 4 atoms:
Sm1 0.5000 0.0000 0.5000
In1 0.0000 0.0000 0.0000
Hg1 0.5000 0.5000 0.0000
Pb1 0.0000 0.5000 0.5000



Here is crystalline In2SnHg2Pb at its relaxed geometry from Alexandria. Energies are from GGA-PBE.

Values from the calculation:
- Electronic total energy: -2.264 eV per atom
- ΔH_f (0 K): 34 meV per atom
- Symmetry: No. 26

a = 4.5912 Å, b = 7.5032 Å, c = 9.9503 Å
α = 90.00°, β = 90.00°, γ = 90.00°
Fractional coordinates of all 12 atoms:
In1 0.0000 0.1656 0.8429
In2 0.5000 0.3467 0.3289
In3 0.0000 0.6656 0.1571
In4 0.5000 0.8467 0.6711
Sn1 0.5000 0.2556 0.6449
Sn2 0.5000 0.7556 0.3551
Hg1 0.5000 0.9761 0.0658
Hg2 0.0000 0.2537 0.1368
Hg3 0.5000 0.4761 0.9342
Hg4 0.0000 0.7537 0.8632
Pb1 0.0000 0.0479 0.4442
Pb2 0.0000 0.5479 0.5558



Here is crystalline InSn2HgPb4 at its relaxed geometry from Alexandria. Energies are from GGA-PBE.

Values from the calculation:
- Electronic total energy: -3.108 eV per atom
- ΔH_f (0 K): 127 meV per atom
- Symmetry: No. 10

a = 4.5491 Å, b = 7.7953 Å, c = 7.6851 Å
α = 68.66°, β = 90.00°, γ = 90.00°
Fractional coordinates of all 8 atoms:
In1 0.5000 0.5000 0.0000
Sn1 0.0000 0.0000 0.0000
Sn2 0.5000 0.0000 0.5000
Hg1 0.0000 0.5000 0.5000
Pb1 0.0000 0.7602 0.7518
Pb2 0.0000 0.2398 0.2482
Pb3 0.5000 0.7621 0.2433
Pb4 0.5000 0.2379 0.7567



Here is crystalline InSnHg5Pb2 at its relaxed geometry from Alexandria. Energies are from GGA-PBE.

Values from the calculation:
- Electronic total energy: -1.690 eV per atom
- ΔH_f (0 K): 51 meV per atom
- Symmetry: No. 36

a = 4.5679 Å, b = 9.3554 Å, c = 12.3452 Å
α = 90.00°, β = 90.00°, γ = 104.13°
Fractional coordinates of all 18 atoms:
In1 0.7978 0.5956 0.5019
In2 0.2022 0.4044 0.0019
Sn1 0.5614 0.1229 0.9062
Sn2 0.4386 0.8771 0.4062
Hg1 0.3711 0.7421 0.0474
Hg2 0.7285 0.4570 0.8314
Hg3 0.4484 0.8968 0.7102
Hg4 0.2797 0.5595 0.6723
Hg5 0.9719 0.9437 0.5562
Hg6 0.6289 0.2579 0.5474
Hg7 0.2715 0.5430 0.3314
Hg8 0.5516 0.1032 0.2102
Hg9 0.7203 0.4405 0.1723
Hg10 0.0281 0.0563 0.0562
Pb1 0.8982 0.7965 0.8679
Pb2 0.1028 0.2055 0.7304
Pb3 0.1018 0.2035 0.3679
Pb4 0.8972 0.7945 0.2304



Here is crystalline In3Sn2HgPb3 at its relaxed geometry from Alexandria. Energies are from GGA-PBE.

Values from the calculation:
- Electronic total energy: -3.040 eV per atom
- ΔH_f (0 K): 32 meV per atom
- Symmetry: No. 189

a = 3.4682 Å, b = 9.2642 Å, c = 9.2642 Å
α = 120.00°, β = 90.00°, γ = 90.00°
Fractional coordinates of all 9 atoms:
In1 0.5000 0.7080 0.0000
In2 0.5000 0.0000 0.7080
In3 0.5000 0.2920 0.2920
Sn1 0.5000 0.6667 0.3333
Sn2 0.5000 0.3333 0.6667
Hg1 0.0000 0.0000 0.0000
Pb1 0.0000 0.6337 0.6337
Pb2 0.0000 0.0000 0.3663
Pb3 0.0000 0.3663 0.0000



Here is crystalline InSn2Hg2Pb2 at its relaxed geometry from Alexandria. Energies are from GGA-PBE.

Values from the calculation:
- Electronic total energy: -2.646 eV per atom
- ΔH_f (0 K): 35 meV per atom
- Symmetry: No. 2

a = 5.4257 Å, b = 6.3537 Å, c = 6.3725 Å
α = 80.20°, β = 65.96°, γ = 90.81°
Fractional coordinates of all 7 atoms:
In1 0.0000 0.0000 0.0000
Sn1 0.5524 0.2804 0.9069
Sn2 0.4476 0.7196 0.0931
Hg1 0.2750 0.1173 0.4492
Hg2 0.7250 0.8827 0.5508
Pb1 0.1645 0.5635 0.6821
Pb2 0.8355 0.4365 0.3179



Here is crystalline In6SnHgPb2 at its relaxed geometry from Alexandria. Energies are from GGA-PBE.

Values from the calculation:
- Electronic total energy: -2.756 eV per atom
- ΔH_f (0 K): 59 meV per atom
- Symmetry: No. 14

a = 5.8294 Å, b = 10.7327 Å, c = 9.3167 Å
α = 90.00°, β = 88.07°, γ = 90.00°
Fractional coordinates of all 20 atoms:
In1 0.8201 0.3489 0.7495
In2 0.8686 0.2016 0.0684
In3 0.8699 0.2102 0.4344
In4 0.6301 0.7102 0.0656
In5 0.6314 0.7016 0.4316
In6 0.6799 0.8489 0.7505
In7 0.3201 0.1511 0.2495
In8 0.3686 0.2984 0.5684
In9 0.3699 0.2898 0.9344
In10 0.1314 0.7984 0.9316
In11 0.1301 0.7898 0.5656
In12 0.1799 0.6511 0.2505
Sn1 0.0000 0.5000 0.0000
Sn2 0.5000 0.0000 0.5000
Hg1 0.0000 0.5000 0.5000
Hg2 0.5000 0.0000 0.0000
Pb1 0.9195 0.9212 0.2513
Pb2 0.5805 0.4212 0.2487
Pb3 0.4195 0.5788 0.7513
Pb4 0.0805 0.0788 0.7487



Here is crystalline InSnHgPb at its relaxed geometry from Alexandria. Energies are from GGA-PBE.

Values from the calculation:
- Electronic total energy: -2.665 eV per atom
- ΔH_f (0 K): 23 meV per atom
- ΔE to the lowest computed polymorph: 0.006 eV per atom
- Symmetry: No. 216

a = 5.4139 Å, b = 5.4139 Å, c = 5.4139 Å
α = 60.00°, β = 60.00°, γ = 60.00°
Fractional coordinates of all 4 atoms:
Pb1 0.2500 0.2500 0.2500
In1 0.7500 0.7500 0.7500
Hg1 0.5000 0.5000 0.5000
Sn1 0.0000 0.0000 0.0000